The following is a DFT calculation (GGA-PBEsol) of a relaxed Y5Cd24 crystal.

* energy of formation: -0.233 eV/atom
* Fermi-level density of states: 23.59 states/eV/cell
* magnetization: 0.00 μB/f.u.

Unit cell a=10.803 b=10.803 c=10.803 alpha=90.00 beta=90.00 gamma=90.00
Space group I-43m (No. 217)
Asymmetric unit:
Y 0.000 0.000 0.000 x2
Y 0.191 0.191 0.809 x8
Cd 0.030 0.355 0.355 x24
Cd 0.089 0.089 0.281 x24